Ta3N | PBE | optimized geometry

The structure belongs to space group Cmcm (No. 63); the cell edges are 2.848, 9.911 and 8.459 Å and the angles 90.00°, 90.00° and 90.00°. The inequivalent atoms are Ta at (0.000, 0.110, 0.250), Ta at (0.000, 0.374, 0.079) and N at (0.000, 0.223, 0.750).

The energy relative to the lowest polymorph listed for this composition is 116 meV/atom. For the uncorrected formation energy, the calculation gives -0.3482 eV per atom. The calculation puts the density of states at the Fermi level at 0.453 states/eV/atom.